Below is Tb4PmTm after structural relaxation, with properties calculated at the PBE-GGA level.

a b c (Å): 6.1148 5.6845 11.9473
angles (deg): 103.77 104.83 90.00
With the nearest neighbours (Å) after each atom.
Atoms (fractional coordinates):
Tb: 0.3425 0.9085 0.3171  3 Pm 3.35-3.53, 6 Tb 3.45-3.62, 1 Tm 3.55
Tb: 0.9747 0.4085 0.3171  3 Pm 3.35-3.53, 6 Tb 3.45-3.62, 1 Tm 3.55
Tb: 0.7533 0.8307 0.1613  7 Tb 3.45-3.61, 4 Tm 3.50-3.56, 1 Pm 3.82
Tb: 0.4079 0.3307 0.1613  7 Tb 3.45-3.61, 4 Tm 3.50-3.56, 1 Pm 3.82
Tb: 0.2467 0.1693 0.8387  7 Tb 3.45-3.61, 4 Tm 3.50-3.56, 1 Pm 3.82
Tb: 0.5921 0.6693 0.8387  7 Tb 3.45-3.61, 4 Tm 3.50-3.56, 1 Pm 3.82
Tb: 0.6575 0.0915 0.6829  3 Pm 3.35-3.53, 6 Tb 3.45-3.62, 1 Tm 3.55
Tb: 0.0253 0.5915 0.6829  3 Pm 3.35-3.53, 6 Tb 3.45-3.62, 1 Tm 3.55
Pm: 0.5000 0.5000 0.5000  6 Tb 3.35-3.53
Pm: 0.0000 0.0000 0.5000  6 Tb 3.35-3.53
Tm: 0.1715 0.7500 0.0000  10 Tb 3.50-3.56, 2 Tm 3.53
Tm: 0.8285 0.2500 0.0000  10 Tb 3.50-3.56, 2 Tm 3.53

Properties
formation energy: 0.06 eV/atom
total magnetic moment: 0.00 μB/f.u.
raw total energy: -4.569 eV per atom
DOS(E_F): 1.611 states/eV/atom
distance to the lowest polymorph of the same formula: 40 meV/atom